Here is Li2NpPaSe4 after structural relaxation from the Alexandria database. Energies are from PBE.

Summary:
For the raw total energy, the calculation gives -50.2 eV for the cell shown. The total magnetization is 0.749 μB/atom. Its space-group type is P2/m (10). The crystal system is monoclinic. The value obtained for the raw formation energy is -1248 meV per atom.

Cell: 6.9961 4.0369 7.0046 Å, 90.00 109.31 90.00°
Sites, in units of the cell vectors:
Li: 0.0000 0.0000 0.0000
Li: 0.5000 0.5000 0.0000
Np: 0.0000 0.5000 0.5000
Pa: 0.5000 0.0000 0.5000
Se: 0.2488 0.5000 0.2374
Se: 0.2564 0.0000 0.7596
Se: 0.7436 0.0000 0.2404
Se: 0.7512 0.5000 0.7626